# 1
First-principles (PBE) data for CoHgCl2 after structural relaxation, as listed in Alexandria.

Computed properties:
formation energy without anion corrections: -0.272 eV/atom
energy relative to the lowest polymorph listed for this composition: 123 meV per atom

abc: 3.708 3.299 9.438
angles: 90.00 96.77 90.00
Atoms (fractional coordinates):
Co  0.000  0.000  0.000
Hg  0.500  0.000  0.500
Cl  0.099  0.500  0.838
Cl  0.901  0.500  0.162

# 2
First-principles (PBE) data for CoHgCl2 after structural relaxation, as listed in Alexandria.

Computed properties:
formation energy without anion corrections: -0.277 eV/atom
energy relative to the lowest polymorph listed for this composition: 118 meV per atom

abc: 5.608 3.469 6.075
angles: 90.00 110.29 90.00
Atoms (fractional coordinates):
Co  0.000  0.000  0.000
Hg  0.288  0.500  0.833
Cl  0.653  0.000  0.686
Cl  0.990  0.500  0.240

# 3
First-principles (PBE) data for CoHgCl2 after structural relaxation, as listed in Alexandria.

Computed properties:
formation energy without anion corrections: 0.272 eV/atom
energy relative to the lowest polymorph listed for this composition: 667 meV per atom

abc: 3.836 3.836 12.498
angles: 90.00 90.00 90.00
Atoms (fractional coordinates):
Co  0.000  0.000  0.000
Co  0.500  0.500  0.500
Hg  0.000  0.500  0.750
Hg  0.500  0.000  0.250
Cl  0.000  0.000  0.500
Cl  0.000  0.500  0.250
Cl  0.500  0.000  0.750
Cl  0.500  0.500  0.000

Copy entry 3 word for word.
First-principles (PBE) data for CoHgCl2 after structural relaxation, as listed in Alexandria.

Computed properties:
formation energy without anion corrections: 0.272 eV/atom
energy relative to the lowest polymorph listed for this composition: 667 meV per atom

abc: 3.836 3.836 12.498
angles: 90.00 90.00 90.00
Atoms (fractional coordinates):
Co  0.000  0.000  0.000
Co  0.500  0.500  0.500
Hg  0.000  0.500  0.750
Hg  0.500  0.000  0.250
Cl  0.000  0.000  0.500
Cl  0.000  0.500  0.250
Cl  0.500  0.000  0.750
Cl  0.500  0.500  0.000